Entry 1:
The following is a DFT calculation (SCAN) of a crystal of BaIn2NiBi relaxed with PBEsol.

Lattice parameters (Å, degrees): 4.973 4.973 5.507 90.00 90.00 90.00
Sites, in units of the cell vectors:
Ba 0.000 0.000 0.000
In 0.000 0.500 0.500
In 0.500 0.000 0.500
Ni 0.500 0.500 0.500
Bi 0.500 0.500 0.000

## Properties
VASP energy: -202.605 eV for the cell shown



Entry 2:
The following is a DFT calculation (SCAN) of a crystal of Ba3BiIr relaxed with PBEsol.

Lattice parameters (Å, degrees): 5.859 5.859 5.859 90.00 90.00 90.00
Sites, in units of the cell vectors:
Ba 0.000 0.000 0.500
Ba 0.000 0.500 0.000
Ba 0.500 0.000 0.000
Bi 0.500 0.500 0.500
Ir 0.000 0.000 0.000

## Properties
VASP energy: -270.950 eV for the cell shown



Entry 3:
The following is a DFT calculation (SCAN) of a crystal of Ba3BiIrRuO9 relaxed with PBEsol.

Lattice parameters (Å, degrees): 5.905 5.905 14.767 91.15 91.15 119.62
Sites, in units of the cell vectors:
Ba 0.008 0.992 0.500
Ba 0.326 0.659 0.157
Ba 0.344 0.675 0.846
Ba 0.659 0.326 0.657
Ba 0.675 0.344 0.346
Ba 0.992 0.008 0.000
Bi 0.001 0.001 0.251
Bi 0.001 0.001 0.751
Ir 0.353 0.681 0.417
Ir 0.681 0.353 0.917
Ru 0.318 0.648 0.585
Ru 0.648 0.318 0.085
O 0.028 0.503 0.489
O 0.133 0.785 0.653
O 0.137 0.322 0.647
O 0.215 0.867 0.343
O 0.216 0.403 0.321
O 0.322 0.137 0.147
O 0.403 0.216 0.821
O 0.491 0.506 0.502
O 0.495 0.971 0.514
O 0.503 0.028 0.989
O 0.506 0.491 0.002
O 0.594 0.781 0.677
O 0.682 0.865 0.351
O 0.781 0.594 0.177
O 0.785 0.133 0.153
O 0.865 0.682 0.851
O 0.867 0.215 0.843
O 0.971 0.495 0.014

## Properties
ΔE_f (raw): -44.494 kcal/mol of atoms



Entry 4:
The following is a DFT calculation (SCAN) of a crystal of KBaBi2 relaxed with PBEsol.

Lattice parameters (Å, degrees): 5.926 5.926 5.926 60.00 60.00 60.00
Sites, in units of the cell vectors:
K 0.000 0.000 0.000
Ba 0.500 0.500 0.500
Bi 0.250 0.250 0.250
Bi 0.750 0.750 0.750

## Properties
VASP energy: -207.198 eV for the cell shown



Entry 5:
The following is a DFT calculation (SCAN) of a crystal of K2BaBi2 relaxed with PBEsol.

Lattice parameters (Å, degrees): 8.641 8.641 8.641 145.74 145.74 49.23
Sites, in units of the cell vectors:
K 0.250 0.750 0.500
K 0.750 0.250 0.500
Ba 0.000 0.000 0.000
Bi 0.405 0.405 0.000
Bi 0.595 0.595 0.000

## Properties
VASP energy: -216.087 eV for the cell shown



Entry 6:
The following is a DFT calculation (SCAN) of a crystal of KBaMg2Bi relaxed with PBEsol.

Lattice parameters (Å, degrees): 5.723 5.723 6.180 90.00 90.00 90.00
Sites, in units of the cell vectors:
K 0.000 0.000 0.000
Ba 0.500 0.500 0.500
Mg 0.000 0.500 0.000
Mg 0.500 0.000 0.000
Bi 0.000 0.000 0.500

## Properties
VASP energy: -134.714 eV for the cell shown



Entry 7:
The following is a DFT calculation (SCAN) of a crystal of KBa2Bi3O9 relaxed with PBEsol.

Lattice parameters (Å, degrees): 6.105 6.105 7.479 90.00 90.00 120.00
Sites, in units of the cell vectors:
K 0.000 0.000 0.000
Ba 0.333 0.667 0.666
Ba 0.667 0.333 0.334
Bi 0.000 0.000 0.500
Bi 0.333 0.667 0.164
Bi 0.667 0.333 0.836
O 0.000 0.500 0.000
O 0.171 0.343 0.344
O 0.171 0.829 0.344
O 0.343 0.171 0.656
O 0.500 0.000 0.000
O 0.500 0.500 0.000
O 0.657 0.829 0.344
O 0.829 0.171 0.656
O 0.829 0.657 0.656

## Properties
ΔE_f (raw): -38.669 kcal/mol of atoms



Entry 8:
The following is a DFT calculation (SCAN) of a crystal of K2BaBi3O9 relaxed with PBEsol.

Lattice parameters (Å, degrees): 6.022 6.022 7.383 90.00 90.00 120.00
Sites, in units of the cell vectors:
K 0.333 0.667 0.169
K 0.667 0.333 0.831
Ba 0.000 0.000 0.500
Bi 0.000 0.000 0.000
Bi 0.333 0.667 0.670
Bi 0.667 0.333 0.330
O 0.000 0.500 0.500
O 0.161 0.323 0.823
O 0.161 0.839 0.823
O 0.323 0.161 0.177
O 0.500 0.000 0.500
O 0.500 0.500 0.500
O 0.677 0.839 0.823
O 0.839 0.161 0.177
O 0.839 0.677 0.177

## Properties
ΔE_f (raw): -32.869 kcal/mol of atoms



Entry 9:
The following is a DFT calculation (SCAN) of a crystal of KBa2Bi2O7 relaxed with PBEsol.

Lattice parameters (Å, degrees): 11.406 11.406 11.406 158.24 158.24 30.96
Sites, in units of the cell vectors:
K 0.000 0.000 0.000
Ba 0.182 0.182 0.000
Ba 0.376 0.376 0.000
Bi 0.584 0.584 0.000
Bi 0.785 0.785 0.000
O 0.097 0.597 0.500
O 0.284 0.784 0.500
O 0.490 0.490 0.000
O 0.597 0.097 0.500
O 0.687 0.687 0.000
O 0.784 0.284 0.500
O 0.880 0.880 0.000

## Properties
ΔE_f (raw): -41.912 kcal/mol of atoms



Entry 10:
The following is a DFT calculation (SCAN) of a crystal of Ba2LaBiO6 relaxed with PBEsol.

Lattice parameters (Å, degrees): 6.238 6.238 6.238 60.00 60.00 60.00
Sites, in units of the cell vectors:
Ba 0.250 0.250 0.250
Ba 0.750 0.750 0.750
La 0.000 0.000 0.000
Bi 0.500 0.500 0.500
O 0.261 0.261 0.739
O 0.261 0.739 0.261
O 0.261 0.739 0.739
O 0.739 0.261 0.261
O 0.739 0.261 0.739
O 0.739 0.739 0.261

## Properties
ΔE_f (raw): -58.382 kcal/mol of atoms



Entry 11:
The following is a DFT calculation (SCAN) of a crystal of BaLi2Bi2 relaxed with PBEsol.

Lattice parameters (Å, degrees): 8.920 8.920 3.342 90.00 90.00 90.00
Sites, in units of the cell vectors:
Ba 0.000 0.000 0.000
Ba 0.500 0.500 0.000
Li 0.114 0.386 0.000
Li 0.386 0.886 0.000
Li 0.614 0.114 0.000
Li 0.886 0.614 0.000
Bi 0.175 0.675 0.500
Bi 0.325 0.175 0.500
Bi 0.675 0.825 0.500
Bi 0.825 0.325 0.500

## Properties
Relative energy among the computed polymorphs: 97 meV/atom



Entry 12:
The following is a DFT calculation (SCAN) of a crystal of BaLi2Bi2 relaxed with PBEsol.

Lattice parameters (Å, degrees): 6.913 6.913 6.913 138.89 138.89 59.54
Sites, in units of the cell vectors:
Ba 0.000 0.000 0.000
Li 0.250 0.750 0.500
Li 0.750 0.250 0.500
Bi 0.373 0.373 0.000
Bi 0.627 0.627 0.000

## Properties
Relative energy among the computed polymorphs: 0 meV/atom



Entry 13:
The following is a DFT calculation (SCAN) of a crystal of BaLi2Bi2 relaxed with PBEsol.

Lattice parameters (Å, degrees): 9.185 9.185 3.333 90.00 90.00 90.00
Sites, in units of the cell vectors:
Ba 0.000 0.000 0.000
Ba 0.500 0.500 0.000
Li 0.128 0.372 0.500
Li 0.372 0.872 0.500
Li 0.628 0.128 0.500
Li 0.872 0.628 0.500
Bi 0.159 0.659 0.000
Bi 0.341 0.159 0.000
Bi 0.659 0.841 0.000
Bi 0.841 0.341 0.000

## Properties
Relative energy among the computed polymorphs: 278 meV/atom



Entry 14:
The following is a DFT calculation (SCAN) of a crystal of BaLiBi relaxed with PBEsol.

Lattice parameters (Å, degrees): 4.992 4.992 7.651 90.00 90.00 90.00
Sites, in units of the cell vectors:
Ba 0.250 0.250 0.187
Ba 0.750 0.750 0.813
Li 0.250 0.750 0.500
Li 0.750 0.250 0.500
Bi 0.250 0.250 0.711
Bi 0.750 0.750 0.289

## Properties
VASP energy: -246.615 eV for the cell shown



Entry 15:
The following is a DFT calculation (SCAN) of a crystal of Ba4LiBi3O12 relaxed with PBEsol.

Lattice parameters (Å, degrees): 7.372 7.372 7.372 109.47 109.47 109.47
Sites, in units of the cell vectors:
Ba 0.000 0.000 0.500
Ba 0.000 0.500 0.000
Ba 0.500 0.000 0.000
Ba 0.500 0.500 0.500
Li 0.000 0.000 0.000
Bi 0.000 0.500 0.500
Bi 0.500 0.000 0.500
Bi 0.500 0.500 0.000
O 0.000 0.260 0.260
O 0.000 0.740 0.740
O 0.250 0.500 0.750
O 0.250 0.750 0.500
O 0.260 0.000 0.260
O 0.260 0.260 0.000
O 0.500 0.250 0.750
O 0.500 0.750 0.250
O 0.740 0.000 0.740
O 0.740 0.740 0.000
O 0.750 0.250 0.500
O 0.750 0.500 0.250

## Properties
ΔE_f (raw): -44.070 kcal/mol of atoms



Entry 16:
The following is a DFT calculation (SCAN) of a crystal of Ba10Li2Bi4O21 relaxed with PBEsol.

Lattice parameters (Å, degrees): 5.974 14.565 14.607 90.00 90.00 90.00
Sites, in units of the cell vectors:
Ba 0.000 0.002 0.000
Ba 0.000 0.085 0.256
Ba 0.000 0.290 0.089
Ba 0.000 0.312 0.573
Ba 0.000 0.432 0.860
Ba 0.000 0.568 0.360
Ba 0.000 0.688 0.073
Ba 0.000 0.710 0.589
Ba 0.000 0.915 0.756
Ba 0.000 0.998 0.500
Ba 0.500 0.071 0.666
Ba 0.500 0.196 0.935
Ba 0.500 0.208 0.411
Ba 0.500 0.414 0.255
Ba 0.500 0.498 0.013
Ba 0.500 0.502 0.513
Ba 0.500 0.586 0.755
Ba 0.500 0.792 0.911
Ba 0.500 0.804 0.435
Ba 0.500 0.929 0.166
Li 0.000 0.496 0.144
Li 0.000 0.504 0.644
Li 0.500 0.004 0.374
Li 0.500 0.996 0.874
Bi 0.000 0.157 0.790
Bi 0.000 0.316 0.342
Bi 0.000 0.684 0.842
Bi 0.000 0.843 0.290
Bi 0.500 0.186 0.167
Bi 0.500 0.343 0.724
Bi 0.500 0.657 0.224
Bi 0.500 0.814 0.667
O 0.000 0.079 0.667
O 0.000 0.193 0.421
O 0.000 0.252 0.896
O 0.000 0.421 0.246
O 0.000 0.452 0.025
O 0.000 0.548 0.525
O 0.000 0.579 0.746
O 0.000 0.748 0.396
O 0.000 0.807 0.921
O 0.000 0.921 0.167
O 0.243 0.072 0.849
O 0.243 0.928 0.349
O 0.244 0.128 0.090
O 0.244 0.872 0.590
O 0.250 0.252 0.254
O 0.250 0.748 0.754
O 0.261 0.375 0.419
O 0.261 0.625 0.919
O 0.264 0.235 0.710
O 0.264 0.765 0.210
O 0.268 0.429 0.660
O 0.268 0.571 0.160
O 0.500 0.060 0.492
O 0.500 0.084 0.268
O 0.500 0.311 0.090
O 0.500 0.395 0.856
O 0.500 0.605 0.356
O 0.500 0.689 0.590
O 0.500 0.916 0.768
O 0.500 0.940 0.992
O 0.732 0.429 0.660
O 0.732 0.571 0.160
O 0.736 0.235 0.710
O 0.736 0.765 0.210
O 0.739 0.375 0.419
O 0.739 0.625 0.919
O 0.750 0.252 0.254
O 0.750 0.748 0.754
O 0.756 0.128 0.090
O 0.756 0.872 0.590
O 0.757 0.072 0.849
O 0.757 0.928 0.349

## Properties
ΔE_f (raw): -49.166 kcal/mol of atoms



Entry 17:
The following is a DFT calculation (SCAN) of a crystal of Ba4Sr2Lu3Bi3O18 relaxed with PBEsol.

Lattice parameters (Å, degrees): 5.971 5.971 14.626 90.46 90.46 59.96
Sites, in units of the cell vectors:
Ba 0.000 0.000 0.000
Ba 0.001 0.001 0.501
Ba 0.335 0.335 0.668
Ba 0.668 0.668 0.332
Sr 0.326 0.326 0.174
Sr 0.660 0.660 0.836
Lu 0.000 0.000 0.248
Lu 0.332 0.332 0.919
Lu 0.667 0.667 0.586
Bi 0.000 0.000 0.753
Bi 0.334 0.334 0.417
Bi 0.664 0.664 0.083
O 0.020 0.520 0.508
O 0.151 0.151 0.352
O 0.155 0.639 0.321
O 0.186 0.186 0.814
O 0.204 0.689 0.845
O 0.308 0.815 0.659
O 0.357 0.871 0.175
O 0.470 0.470 0.033
O 0.483 0.960 0.984
O 0.516 0.516 0.482
O 0.520 0.020 0.508
O 0.639 0.155 0.321
O 0.689 0.204 0.845
O 0.811 0.811 0.695
O 0.815 0.308 0.659
O 0.849 0.849 0.146
O 0.871 0.357 0.175
O 0.960 0.483 0.984

## Properties
ΔE_f (raw): -61.367 kcal/mol of atoms



Entry 18:
The following is a DFT calculation (SCAN) of a crystal of Ba3SrLu2Bi2O12 relaxed with PBEsol.

Lattice parameters (Å, degrees): 5.993 5.993 8.474 90.00 90.00 90.00
Sites, in units of the cell vectors:
Ba 0.000 0.000 0.000
Ba 0.000 0.000 0.500
Ba 0.500 0.500 0.000
Sr 0.500 0.500 0.500
Lu 0.000 0.500 0.251
Lu 0.500 0.000 0.749
Bi 0.000 0.500 0.749
Bi 0.500 0.000 0.251
O 0.000 0.500 0.502
O 0.000 0.500 0.997
O 0.250 0.254 0.747
O 0.250 0.746 0.747
O 0.254 0.250 0.253
O 0.254 0.750 0.253
O 0.500 0.000 0.003
O 0.500 0.000 0.498
O 0.746 0.250 0.253
O 0.746 0.750 0.253
O 0.750 0.254 0.747
O 0.750 0.746 0.747

## Properties
ΔE_f (raw): -61.208 kcal/mol of atoms